Below is a relaxed structure of Dy5CuTe4, with properties calculated at the PBE-GGA level.

Structure (CIF):
```
data_Dy5CuTe4
_cell_length_a 9.618
_cell_length_b 9.618
_cell_length_c 6.108
_cell_angle_alpha 90.00
_cell_angle_beta 90.00
_cell_angle_gamma 90.00
_symmetry_space_group_name_H-M 'I 4/m'
_symmetry_Int_Tables_number 87
_symmetry_space_group_name_Hall '-I 4'
loop_
_atom_site_label
_atom_site_type_symbol
_atom_site_fract_x
_atom_site_fract_y
_atom_site_fract_z
_atom_site_occupancy
Dy1 Dy 0.000 0.000 0.000 1
Dy2 Dy 0.096 0.271 0.500 1
Cu1 Cu 0.000 0.000 0.500 1
Te1 Te 0.088 0.308 0.000 1
```

Values from the calculation:
- raw total energy (eV/atom) = -5.051

=====

Below is a relaxed structure of Dy4CuTe, with properties calculated at the PBE-GGA level.

Structure (CIF):
```
data_Dy4CuTe
_cell_length_a 6.155
_cell_length_b 6.472
_cell_length_c 8.155
_cell_angle_alpha 90.00
_cell_angle_beta 91.37
_cell_angle_gamma 90.00
_symmetry_space_group_name_H-M 'P 1 21/m 1'
_symmetry_Int_Tables_number 11
_symmetry_space_group_name_Hall '-P 2yb'
loop_
_atom_site_label
_atom_site_type_symbol
_atom_site_fract_x
_atom_site_fract_y
_atom_site_fract_z
_atom_site_occupancy
Dy1 Dy 0.103 0.250 0.125 1
Dy2 Dy 0.142 0.750 0.418 1
Dy3 Dy 0.380 0.000 0.805 1
Cu1 Cu 0.257 0.750 0.088 1
Te1 Te 0.339 0.250 0.464 1
```

Values from the calculation:
- relative energy among the computed polymorphs (meV per atom) = 56.6
- raw total energy (eV/atom) = -4.724

=====

Below is a relaxed structure of Dy4CuTe2, with properties calculated at the PBE-GGA level.

Structure (CIF):
```
data_Dy4CuTe2
_cell_length_a 15.480
_cell_length_b 4.100
_cell_length_c 7.127
_cell_angle_alpha 90.00
_cell_angle_beta 116.84
_cell_angle_gamma 90.00
_symmetry_space_group_name_H-M 'C 1 2/m 1'
_symmetry_Int_Tables_number 12
_symmetry_space_group_name_Hall '-C 2y'
loop_
_atom_site_label
_atom_site_type_symbol
_atom_site_fract_x
_atom_site_fract_y
_atom_site_fract_z
_atom_site_occupancy
Dy1 Dy 0.104 0.000 0.256 1
Dy2 Dy 0.106 0.500 0.792 1
Cu1 Cu 0.000 0.000 0.500 1
Te1 Te 0.245 0.000 0.738 1
```

Values from the calculation:
- raw total energy (eV/atom) = -4.837

=====

Below is a relaxed structure of Dy2CuTe4, with properties calculated at the PBE-GGA level.

Structure (CIF):
```
data_Dy2CuTe4
_cell_length_a 7.553
_cell_length_b 6.233
_cell_length_c 8.607
_cell_angle_alpha 90.00
_cell_angle_beta 106.45
_cell_angle_gamma 90.00
_symmetry_space_group_name_H-M 'P 1 21/m 1'
_symmetry_Int_Tables_number 11
_symmetry_space_group_name_Hall '-P 2yb'
loop_
_atom_site_label
_atom_site_type_symbol
_atom_site_fract_x
_atom_site_fract_y
_atom_site_fract_z
_atom_site_occupancy
Dy1 Dy 0.219 0.250 0.429 1
Dy2 Dy 0.251 0.250 0.938 1
Cu1 Cu 0.219 0.750 0.677 1
Te1 Te 0.071 0.750 0.375 1
Te2 Te 0.078 0.750 0.911 1
Te3 Te 0.491 0.504 0.253 1
```

Values from the calculation:
- raw total energy (eV/atom) = -4.646

=====

Below is a relaxed structure of Dy3CuTe6, with properties calculated at the PBE-GGA level.

Structure (CIF):
```
data_Dy3CuTe6
_cell_length_a 12.220
_cell_length_b 13.711
_cell_length_c 7.458
_cell_angle_alpha 90.00
_cell_angle_beta 90.00
_cell_angle_gamma 90.00
_symmetry_space_group_name_H-M 'C m c 21'
_symmetry_Int_Tables_number 36
_symmetry_space_group_name_Hall 'C 2c -2'
loop_
_atom_site_label
_atom_site_type_symbol
_atom_site_fract_x
_atom_site_fract_y
_atom_site_fract_z
_atom_site_occupancy
Dy1 Dy 0.000 0.105 0.000 1
Dy2 Dy 0.173 0.403 0.097 1
Cu1 Cu 0.000 0.282 0.643 1
Te1 Te 0.000 0.276 0.291 1
Te2 Te 0.000 0.458 0.791 1
Te3 Te 0.163 0.038 0.300 1
Te4 Te 0.174 0.233 0.810 1
```

Values from the calculation:
- raw total energy (eV/atom) = -4.647

=====

Below is a relaxed structure of Dy4CuTe3, with properties calculated at the PBE-GGA level.

Structure (CIF):
```
data_Dy4CuTe3
_cell_length_a 8.847
_cell_length_b 12.190
_cell_length_c 4.162
_cell_angle_alpha 90.00
_cell_angle_beta 90.00
_cell_angle_gamma 90.00
_symmetry_space_group_name_H-M 'C m m m'
_symmetry_Int_Tables_number 65
_symmetry_space_group_name_Hall '-C 2 2'
loop_
_atom_site_label
_atom_site_type_symbol
_atom_site_fract_x
_atom_site_fract_y
_atom_site_fract_z
_atom_site_occupancy
Dy1 Dy 0.000 0.237 0.000 1
Dy2 Dy 0.221 0.000 0.500 1
Cu1 Cu 0.000 0.000 0.000 1
Te1 Te 0.000 0.500 0.000 1
Te2 Te 0.250 0.250 0.500 1
```

Values from the calculation:
- raw total energy (eV/atom) = -5.011

=====

Below is a relaxed structure of Dy3Cu5Te12, with properties calculated at the PBE-GGA level.

Structure (CIF):
```
data_Dy3Cu5Te12
_cell_length_a 16.606
_cell_length_b 16.606
_cell_length_c 16.606
_cell_angle_alpha 90.00
_cell_angle_beta 90.00
_cell_angle_gamma 90.00
_symmetry_space_group_name_H-M 'I a -3 d'
_symmetry_Int_Tables_number 230
_symmetry_space_group_name_Hall '-I 4bd 2c 3'
loop_
_atom_site_label
_atom_site_type_symbol
_atom_site_fract_x
_atom_site_fract_y
_atom_site_fract_z
_atom_site_occupancy
Dy1 Dy 0.000 0.250 0.125 1
Cu1 Cu 0.000 0.000 0.000 1
Cu2 Cu 0.000 0.250 0.375 1
Te1 Te 0.026 0.060 0.649 1
```

Values from the calculation:
- raw total energy (eV/atom) = -4.019

=====

Below is a relaxed structure of DyCu2Te3, with properties calculated at the PBE-GGA level.

Structure (CIF):
```
data_DyCu2Te3
_cell_length_a 7.538
_cell_length_b 4.147
_cell_length_c 11.252
_cell_angle_alpha 90.00
_cell_angle_beta 103.50
_cell_angle_gamma 90.00
_symmetry_space_group_name_H-M 'P 1 21/m 1'
_symmetry_Int_Tables_number 11
_symmetry_space_group_name_Hall '-P 2yb'
loop_
_atom_site_label
_atom_site_type_symbol
_atom_site_fract_x
_atom_site_fract_y
_atom_site_fract_z
_atom_site_occupancy
Dy1 Dy 0.233 0.250 0.194 1
Cu1 Cu 0.045 0.250 0.920 1
Cu2 Cu 0.423 0.750 0.414 1
Te1 Te 0.059 0.750 0.322 1
Te2 Te 0.259 0.750 0.985 1
Te3 Te 0.393 0.750 0.642 1
```

Values from the calculation:
- raw total energy (eV/atom) = -4.287

=====

Below is a relaxed structure of Dy4CuTe, with properties calculated at the PBE-GGA level.

Structure (CIF):
```
data_Dy4CuTe
_cell_length_a 8.355
_cell_length_b 3.912
_cell_length_c 19.389
_cell_angle_alpha 90.00
_cell_angle_beta 90.00
_cell_angle_gamma 90.00
_symmetry_space_group_name_H-M 'P n m a'
_symmetry_Int_Tables_number 62
_symmetry_space_group_name_Hall '-P 2ac 2n'
loop_
_atom_site_label
_atom_site_type_symbol
_atom_site_fract_x
_atom_site_fract_y
_atom_site_fract_z
_atom_site_occupancy
Dy1 Dy 0.011 0.250 0.218 1
Dy2 Dy 0.028 0.250 0.930 1
Dy3 Dy 0.122 0.250 0.444 1
Dy4 Dy 0.165 0.250 0.647 1
Cu1 Cu 0.238 0.250 0.049 1
Te1 Te 0.213 0.750 0.312 1
```

Values from the calculation:
- relative energy among the computed polymorphs (meV per atom) = 0.0
- raw total energy (eV/atom) = -4.780

=====

Below is a relaxed structure of Dy5Cu2Te, with properties calculated at the PBE-GGA level.

Structure (CIF):
```
data_Dy5Cu2Te
_cell_length_a 7.966
_cell_length_b 7.966
_cell_length_c 12.729
_cell_angle_alpha 90.00
_cell_angle_beta 90.00
_cell_angle_gamma 90.00
_symmetry_space_group_name_H-M 'I 4/m c m'
_symmetry_Int_Tables_number 140
_symmetry_space_group_name_Hall '-I 4 2c'
loop_
_atom_site_label
_atom_site_type_symbol
_atom_site_fract_x
_atom_site_fract_y
_atom_site_fract_z
_atom_site_occupancy
Dy1 Dy 0.000 0.000 0.000 1
Dy2 Dy 0.153 0.347 0.140 1
Cu1 Cu 0.133 0.367 0.500 1
Te1 Te 0.000 0.000 0.250 1
```

Values from the calculation:
- raw total energy (eV/atom) = -4.749

=====

Below is a relaxed structure of Dy5CuTe2, with properties calculated at the PBE-GGA level.

Structure (CIF):
```
data_Dy5CuTe2
_cell_length_a 5.915
_cell_length_b 12.564
_cell_length_c 12.819
_cell_angle_alpha 90.00
_cell_angle_beta 90.00
_cell_angle_gamma 90.00
_symmetry_space_group_name_H-M 'C m c m'
_symmetry_Int_Tables_number 63
_symmetry_space_group_name_Hall '-C 2c 2'
loop_
_atom_site_label
_atom_site_type_symbol
_atom_site_fract_x
_atom_site_fract_y
_atom_site_fract_z
_atom_site_occupancy
Dy1 Dy 0.000 0.056 0.114 1
Dy2 Dy 0.000 0.367 0.750 1
Dy3 Dy 0.000 0.387 0.082 1
Cu1 Cu 0.000 0.229 0.250 1
Te1 Te 0.000 0.192 0.585 1
```

Values from the calculation:
- raw total energy (eV/atom) = -4.638

=====

Below is a relaxed structure of Dy7Cu2Te2, with properties calculated at the PBE-GGA level.

Structure (CIF):
```
data_Dy7Cu2Te2
_cell_length_a 7.581
_cell_length_b 10.521
_cell_length_c 7.819
_cell_angle_alpha 90.00
_cell_angle_beta 90.00
_cell_angle_gamma 90.00
_symmetry_space_group_name_H-M 'C m m m'
_symmetry_Int_Tables_number 65
_symmetry_space_group_name_Hall '-C 2 2'
loop_
_atom_site_label
_atom_site_type_symbol
_atom_site_fract_x
_atom_site_fract_y
_atom_site_fract_z
_atom_site_occupancy
Dy1 Dy 0.000 0.000 0.000 1
Dy2 Dy 0.000 0.500 0.291 1
Dy3 Dy 0.250 0.250 0.297 1
Cu1 Cu 0.171 0.000 0.500 1
Te1 Te 0.000 0.294 0.000 1
```

Values from the calculation:
- relative energy among the computed polymorphs (meV per atom) = 392.2
- raw total energy (eV/atom) = -4.429

=====

Per-record D(E_F), states/eV per cell: 11.1; 13.9; 14.5; 1.1; 16.2; 10.4; 104.3; 5.6; 27.7; 26.9; 36.5; 28.5